! NaTmTe | OQMD via LeMat-Bulk | GGA-PBE | relaxed; values from VASP
! - Electronic total energy: -3.335 eV per atom
! - Magnetic moment: 0.00 μB/cell
! - ΔE to the lowest computed polymorph: 0 kJ/mol of formula units
&SYSTEM
  ibrav = 0, nat = 3, ntyp = 3
/
ATOMIC_SPECIES
Na 22.99 Na.upf
Tm 168.93 Tm.upf
Te 127.60 Te.upf
CELL_PARAMETERS angstrom
0.0000 3.5512 3.5512
3.5512 0.0000 3.5512
3.5512 3.5512 0.0000
ATOMIC_POSITIONS crystal
Na 0.0000 0.0000 0.0000
Tm 0.5000 0.5000 0.5000
Te 0.2500 0.2500 0.2500